An optimized crystal structure of RbTmAgSe2, computed with PBE-GGA.

Properties
Final energy (eV/cell): -40.9
DOS(E_F) (states/eV/cell): 2.13
Magnetic moment (μB/atom): 0.000
Crystal system: monoclinic

Cell: 7.942 4.923 7.992 Å, 90.00 95.52 90.00°
Space group P2/c (No. 13)
One atom of each set of equivalent atoms:
Rb  0.000  0.084  0.250 (multiplicity 2)
Tm  0.500  0.497  0.750 (multiplicity 2)
Ag  0.500  0.000  0.000 (multiplicity 2)
Se  0.262  0.409  0.978 (multiplicity 4)